CdSi2Ir: optimized geometry, PBE-GGA.

Results
Formation energy without anion corrections (eV/atom): -0.03
Total energy (eV for the cell shown): -20.76
Space group: No. 12

a = 4.1142 Å, b = 4.1142 Å, c = 7.6465 Å
α = 67.24°, β = 67.24°, γ = 41.13°
Atoms (fractional coordinates):
Ir: 0.2500 0.2500 0.2500
Si: 0.0291 0.0291 0.0912
Si: 0.4709 0.4709 0.4088
Cd: 0.7500 0.7500 0.7500

CdSiIr2: optimized geometry, PBE-GGA.

Results
Formation energy without anion corrections (eV/atom): 0.05
Total energy (eV for the cell shown): -23.84
Space group: No. 65

a = 4.5447 Å, b = 4.5447 Å, c = 2.9668 Å
α = 90.00°, β = 90.00°, γ = 97.81°
Atoms (fractional coordinates):
Ir: 0.5000 0.5000 0.0000
Si: 0.5000 0.0000 0.5000
Cd: 0.0000 0.5000 0.5000
Ir: 0.0000 0.0000 0.0000

Cd2SiIr: optimized geometry, PBE-GGA.

Results
Formation energy without anion corrections (eV/atom): 0.30
Total energy (eV for the cell shown): -14.92
Space group: No. 216

a = 4.6222 Å, b = 4.6222 Å, c = 4.6222 Å
α = 60.00°, β = 60.00°, γ = 60.00°
Atoms (fractional coordinates):
Ir: 0.5000 0.5000 0.5000
Cd: 0.0000 0.0000 0.0000
Si: 0.2500 0.2500 0.2500
Cd: 0.7500 0.7500 0.7500

CdSi2Ir: optimized geometry, PBE-GGA.

Results
Formation energy without anion corrections (eV/atom): 0.19
Total energy (eV for the cell shown): -39.69
Space group: No. 122

a = 5.8511 Å, b = 5.8511 Å, c = 6.8973 Å
α = 64.90°, β = 64.90°, γ = 90.00°
Atoms (fractional coordinates):
Si: 0.6899 0.1250 0.2500
Ir: 0.7500 0.2500 0.5000
Si: 0.0601 0.6250 0.2500
Cd: 0.2500 0.7500 0.5000
Ir: 0.0000 0.0000 0.0000
Cd: 0.5000 0.5000 0.0000
Si: 0.8750 0.9399 0.7500
Si: 0.3750 0.3101 0.7500

CdSi2Ir: optimized geometry, PBE-GGA.

Results
Formation energy without anion corrections (eV/atom): 0.34
Total energy (eV for the cell shown): -19.24
Space group: No. 119

a = 4.8952 Å, b = 4.8952 Å, c = 4.8952 Å
α = 132.03°, β = 132.03°, γ = 70.18°
Atoms (fractional coordinates):
Cd: 0.5000 0.5000 0.0000
Ir: 0.7500 0.2500 0.5000
Si: 0.2500 0.7500 0.5000
Si: 0.0000 0.0000 0.0000

CdSiIr2: optimized geometry, PBE-GGA.

Results
Formation energy without anion corrections (eV/atom): -0.07
Total energy (eV for the cell shown): -24.34
Space group: No. 65

a = 2.8769 Å, b = 2.8769 Å, c = 8.7892 Å
α = 90.00°, β = 90.00°, γ = 119.04°
Atoms (fractional coordinates):
Ir: 0.0000 0.0000 0.4597
Si: 0.5000 0.5000 0.2500
Ir: 0.0000 0.0000 0.0403
Cd: 0.5000 0.5000 0.7500

Cd2SiIr: optimized geometry, PBE-GGA.

Results
Formation energy without anion corrections (eV/atom): -0.07
Total energy (eV for the cell shown): -16.40
Space group: No. 25

a = 2.9007 Å, b = 3.4001 Å, c = 7.4391 Å
α = 90.00°, β = 90.00°, γ = 90.00°
Atoms (fractional coordinates):
Ir: 0.0000 0.0000 0.5549
Cd: 0.5000 0.5000 0.2788
Si: 0.5000 0.5000 0.6914
Cd: 0.0000 0.0000 0.9748

CdSiIr2: optimized geometry, PBE-GGA.

Results
Formation energy without anion corrections (eV/atom): -0.04
Total energy (eV for the cell shown): -24.21
Space group: No. 71

a = 5.2610 Å, b = 5.2610 Å, c = 5.2610 Å
α = 148.16°, β = 124.36°, γ = 65.55°
Atoms (fractional coordinates):
Si: 0.2500 0.7500 0.5000
Ir: 0.4649 0.4649 0.0000
Ir: 0.0351 0.0351 0.0000
Cd: 0.7500 0.2500 0.5000

CdSiIr2: optimized geometry, PBE-GGA.

Results
Formation energy without anion corrections (eV/atom): 0.29
Total energy (eV for the cell shown): -22.91
Space group: No. 47

a = 2.9346 Å, b = 4.9531 Å, c = 4.3722 Å
α = 90.00°, β = 90.00°, γ = 90.00°
Atoms (fractional coordinates):
Cd: 0.0000 0.5000 0.5000
Ir: 0.5000 0.5000 0.0000
Si: 0.5000 0.0000 0.5000
Ir: 0.0000 0.0000 0.0000

CdSiIr2: optimized geometry, PBE-GGA.

Results
Formation energy without anion corrections (eV/atom): 0.10
Total energy (eV for the cell shown): -23.65
Space group: No. 99

a = 2.8579 Å, b = 2.8579 Å, c = 7.9809 Å
α = 90.00°, β = 90.00°, γ = 90.00°
Atoms (fractional coordinates):
Cd: 0.5000 0.5000 0.7645
Ir: 0.0000 0.0000 0.0215
Ir: 0.5000 0.5000 0.2649
Si: 0.0000 0.0000 0.4490

CdSiIr2: optimized geometry, PBE-GGA.

Results
Formation energy without anion corrections (eV/atom): 0.03
Total energy (eV for the cell shown): -23.95
Space group: No. 38

a = 4.4062 Å, b = 2.9088 Å, c = 5.1925 Å
α = 73.66°, β = 90.00°, γ = 90.00°
Atoms (fractional coordinates):
Ir: 0.0000 0.0477 0.0306
Cd: 0.5000 0.6884 0.7466
Ir: 0.5000 0.4254 0.2736
Si: 0.0000 0.3385 0.4492

CdSiIr: optimized geometry, PBE-GGA.

Results
Formation energy without anion corrections (eV/atom): 0.06
Total energy (eV for the cell shown): -15.03
Space group: No. 216

a = 4.2886 Å, b = 4.2886 Å, c = 4.2886 Å
α = 60.00°, β = 60.00°, γ = 60.00°
Atoms (fractional coordinates):
Si: 0.0000 0.0000 0.0000
Cd: 0.5000 0.5000 0.5000
Ir: 0.7500 0.7500 0.7500